No. 1
{
  "formula": "TcP2Ru",
  "functional": "PBE",
  "state": "optimized geometry",
  "cell": [[3.803, 2.878, 0.006], [-3.803, 2.878, 0.006], [0.000, 1.450, 2.590]],
  "species": ["Tc", "P", "P", "Ru"],
  "frac_coords": [[0.500, 0.500, 0.000], [0.500, 0.000, 0.000], [0.000, 0.500, 0.000], [0.000, 0.000, 0.000]],
  "delta_e_f_ev_per_fu": 0.460,
  "de_polymorph_mev_per_atom": 495,
  "crystal_system": "monoclinic",
  "dos_at_fermi_per_ev_atom": 0.95,
  "density_g_cm3": 7.65,
  "space_group": "C2/m, No. 12",
  "magmom_total_mub_per_cell": 0.00
}

=====

No. 2
{
  "formula": "TaTe2I2",
  "functional": "PBE",
  "state": "optimized geometry",
  "cell": [[-0.086, 2.402, 3.110], [2.213, -2.541, 2.023], [10.559, 5.183, -1.227]],
  "species": ["Te", "Te", "I", "I", "Ta"],
  "frac_coords": [[0.750, 0.250, 0.500], [0.250, 0.750, 0.500], [0.427, 0.427, 0.146], [0.573, 0.573, 0.854], [0.000, 0.000, 0.000]],
  "de_polymorph_mev_per_atom": 938,
  "e_form_raw_mev_per_atom": 643,
  "crystal_system": "tetragonal",
  "dos_at_fermi_per_ev_atom": 0.79,
  "density_g_cm3": 6.45,
  "space_group": "I4/mmm, No. 139",
  "magmom_total_mub_per_cell": 0.16
}

=====

No. 3
{
  "formula": "TbDyThSc",
  "functional": "PBE",
  "state": "optimized geometry",
  "cell": [[3.535, -0.001, 0.000], [-1.767, 3.062, 0.001], [-1.767, -1.024, 11.112]],
  "species": ["Tb", "Th", "Dy", "Sc"],
  "frac_coords": [[0.472, 0.134, 0.621], [0.308, 0.552, 0.875], [0.964, 0.380, 0.359], [0.134, 0.965, 0.115]],
  "delta_e_f_ev_per_fu": 0.105,
  "de_polymorph_mev_per_atom": 0,
  "crystal_system": "trigonal",
  "dos_at_fermi_per_ev_atom": 1.60,
  "density_g_cm3": 8.26,
  "space_group": "R3m, No. 160",
  "magmom_total_mub_per_cell": 0.00
}